Below is an optimized crystal structure of K2Rb21Na6, with properties calculated at the PBE level.

Structure (extended XYZ):
```
29
Lattice="0.000 10.538 10.538 10.538 0.000 10.538 10.538 10.538 0.000" Properties=species:S:1:pos:R:3 pbc="T T T"
K 5.269 5.269 5.269
K 15.808 15.808 15.808
Rb 0.000 0.000 0.000
Rb 3.612 3.612 0.000
Rb 6.927 6.927 0.000
Rb 3.612 0.000 3.612
Rb 10.538 6.927 3.612
Rb 6.927 0.000 6.927
Rb 10.538 3.612 6.927
Rb 13.059 8.018 8.018
Rb 0.000 3.612 3.612
Rb 6.927 10.538 3.612
Rb 6.927 3.612 10.538
Rb 8.018 8.018 8.018
Rb 13.059 13.059 8.018
Rb 13.059 8.018 13.059
Rb 8.018 13.059 8.018
Rb 8.018 8.018 13.059
Rb 13.059 13.059 13.059
Rb 0.000 6.927 6.927
Rb 3.612 10.538 6.927
Rb 3.612 6.927 10.538
Rb 8.018 13.059 13.059
Na 10.538 10.538 5.653
Na 10.538 5.653 10.538
Na 15.424 10.538 10.538
Na 5.653 10.538 10.538
Na 10.538 15.424 10.538
Na 10.538 10.538 15.424
```

Summary:
calculated formation energy	34	meV per atom
space group	No. 225

=====

Below is an optimized crystal structure of CsBa2Pt2, with properties calculated at the PBE level.

Structure (extended XYZ):
```
5
Lattice="-2.742 2.742 6.175 2.742 -2.742 6.175 2.742 2.742 -6.175" Properties=species:S:1:pos:R:3 pbc="T T T"
Cs 0.000 0.000 0.000
Ba 2.742 0.000 3.087
Ba 0.000 2.742 3.087
Pt 0.000 0.000 4.814
Pt 0.000 0.000 7.536
```

Summary:
calculated formation energy	-374	meV per atom
distance to the lowest polymorph of the same formula	5.65	kJ per mole of atoms
space group	No. 139

=====

Below is an optimized crystal structure of LiReSb3, with properties calculated at the PBE level.

Structure (extended XYZ):
```
5
Lattice="4.859 0.000 0.000 0.000 4.859 0.000 0.000 0.000 4.859" Properties=species:S:1:pos:R:3 pbc="T T T"
Li 0.000 0.000 0.000
Re 2.430 2.430 2.430
Sb 0.000 0.000 2.430
Sb 0.000 2.430 0.000
Sb 2.430 0.000 0.000
```

Summary:
uncorrected formation energy	5.91	eV per formula unit
distance to the lowest polymorph of the same formula	60.21	kJ per mole of atoms
space group	No. 221

=====

Below is an optimized crystal structure of ZnFe3Re, with properties calculated at the PBE level.

Structure (extended XYZ):
```
5
Lattice="4.496 0.000 0.000 0.000 4.496 0.000 0.000 0.000 4.496" Properties=species:S:1:pos:R:3 pbc="T T T"
Zn 0.000 0.000 0.000
Fe 0.000 2.248 2.248
Fe 2.248 0.000 2.248
Fe 2.248 2.248 0.000
Re 2.248 2.248 2.248
```

Summary:
calculated formation energy	1476	meV per atom
distance to the lowest polymorph of the same formula	0.00	kJ per mole of atoms
space group	No. 221

=====

Below is an optimized crystal structure of BaTc2, with properties calculated at the PBE level.

Structure (extended XYZ):
```
12
Lattice="5.729 0.000 0.000 -2.864 4.961 0.000 0.000 0.000 8.985" Properties=species:S:1:pos:R:3 pbc="T T T"
Ba 0.000 3.307 0.543
Ba 0.000 3.307 3.950
Ba 2.864 1.654 5.036
Ba 2.864 1.654 8.442
Tc 0.000 0.000 0.000
Tc 0.000 0.000 4.493
Tc 0.000 1.646 6.739
Tc -1.438 4.138 6.739
Tc 1.426 0.823 2.246
Tc 1.438 4.138 6.739
Tc 4.303 0.823 2.246
Tc 2.864 3.315 2.246
```

Summary:
calculated formation energy	798	meV per atom
distance to the lowest polymorph of the same formula	37.79	kJ per mole of atoms
space group	No. 194

=====

Below is an optimized crystal structure of BeRh4, with properties calculated at the PBE level.

Structure (extended XYZ):
```
5
Lattice="4.094 0.000 0.000 0.000 4.094 0.000 0.000 0.000 4.094" Properties=species:S:1:pos:R:3 pbc="T T T"
Be 0.000 0.000 0.000
Rh 0.000 0.000 2.047
Rh 0.000 2.047 0.000
Rh 2.047 0.000 0.000
Rh 2.047 2.047 2.047
```

Summary:
calculated formation energy	316	meV per atom
distance to the lowest polymorph of the same formula	40.53	kJ per mole of atoms
space group	No. 221

=====

What did the fifth record say?
Below is an optimized crystal structure of BaTc2, with properties calculated at the PBE level.

Structure (extended XYZ):
```
12
Lattice="5.729 0.000 0.000 -2.864 4.961 0.000 0.000 0.000 8.985" Properties=species:S:1:pos:R:3 pbc="T T T"
Ba 0.000 3.307 0.543
Ba 0.000 3.307 3.950
Ba 2.864 1.654 5.036
Ba 2.864 1.654 8.442
Tc 0.000 0.000 0.000
Tc 0.000 0.000 4.493
Tc 0.000 1.646 6.739
Tc -1.438 4.138 6.739
Tc 1.426 0.823 2.246
Tc 1.438 4.138 6.739
Tc 4.303 0.823 2.246
Tc 2.864 3.315 2.246
```

Summary:
calculated formation energy	798	meV per atom
distance to the lowest polymorph of the same formula	37.79	kJ per mole of atoms
space group	No. 194